TiAl3Mo | PBE | relaxed

Volume = 16.25 Å³/atom
Formation energy = -0.03 eV per atom
Total magnetization = 0.0 μB per formula unit

a = 9.533 Å, b = 7.873 Å, c = 4.332 Å
α = 90.00°, β = 90.00°, γ = 90.00°
Sites, in units of the cell vectors:
Ti 0.036 0.250 0.001
Ti 0.464 0.750 0.501
Ti 0.536 0.250 0.499
Ti 0.964 0.750 0.999
Al 0.172 0.750 0.499
Al 0.198 0.559 0.999
Al 0.198 0.941 0.999
Al 0.302 0.059 0.499
Al 0.302 0.441 0.499
Al 0.328 0.250 0.999
Al 0.672 0.750 0.001
Al 0.698 0.559 0.501
Al 0.698 0.941 0.501
Al 0.802 0.059 0.001
Al 0.802 0.441 0.001
Al 0.828 0.250 0.501
Mo 0.000 0.000 0.500
Mo 0.000 0.500 0.500
Mo 0.500 0.000 0.000
Mo 0.500 0.500 0.000


TiAlMo2 | PBE | relaxed

Volume = 16.73 Å³/atom
Formation energy = 0.49 eV per atom
Total magnetization = 0.0 μB per formula unit

a = 5.660 Å, b = 5.660 Å, c = 5.660 Å
α = 103.25°, β = 103.25°, γ = 122.78°
Sites, in units of the cell vectors:
Ti 0.000 0.000 0.000
Ti 0.750 0.250 0.500
Al 0.250 0.750 0.500
Al 0.500 0.500 0.000
Mo 0.129 0.125 0.504
Mo 0.375 0.871 0.996
Mo 0.621 0.625 0.496
Mo 0.875 0.379 0.004


TiAlMo3 | PBE | relaxed

Volume = 18.68 Å³/atom
Formation energy = 1.33 eV per atom
Total magnetization = 0.0 μB per formula unit

a = 4.537 Å, b = 4.537 Å, c = 4.537 Å
α = 90.00°, β = 90.00°, γ = 90.00°
Sites, in units of the cell vectors:
Ti 0.000 0.000 0.000
Al 0.500 0.500 0.500
Mo 0.000 0.500 0.500
Mo 0.500 0.000 0.500
Mo 0.500 0.500 0.000


TiAlMo | PBE | relaxed

Volume = 15.78 Å³/atom
Formation energy = -0.22 eV per atom
Total magnetization = 0.0 μB per formula unit

a = 4.503 Å, b = 4.503 Å, c = 2.696 Å
α = 90.00°, β = 90.00°, γ = 120.00°
Sites, in units of the cell vectors:
Ti 0.000 0.000 0.000
Al 0.333 0.667 0.607
Mo 0.667 0.333 0.264


TiAlMo | PBE | relaxed

Volume = 17.16 Å³/atom
Formation energy = 0.28 eV per atom
Total magnetization = 0.0 μB per formula unit

a = 6.261 Å, b = 6.261 Å, c = 6.261 Å
α = 42.87°, β = 42.87°, γ = 42.87°
Sites, in units of the cell vectors:
Ti 0.074 0.074 0.074
Ti 0.926 0.926 0.926
Al 0.367 0.367 0.367
Al 0.633 0.633 0.633
Mo 0.207 0.207 0.207
Mo 0.793 0.793 0.793


Ti3Al2Mo | PBE | relaxed

Volume = 16.08 Å³/atom
Formation energy = -0.37 eV per atom
Total magnetization = 0.0 μB per formula unit

a = 7.174 Å, b = 7.174 Å, c = 6.250 Å
α = 90.00°, β = 90.00°, γ = 143.12°
Sites, in units of the cell vectors:
Ti 0.000 0.000 0.249
Ti 0.000 0.000 0.751
Ti 0.328 0.672 0.238
Ti 0.328 0.672 0.762
Ti 0.672 0.328 0.238
Ti 0.672 0.328 0.762
Al 0.164 0.836 0.500
Al 0.500 0.500 0.000
Al 0.500 0.500 0.500
Al 0.836 0.164 0.500
Mo 0.162 0.838 0.000
Mo 0.838 0.162 0.000


TiAl2VMo | PBE | relaxed

Volume = 20.49 Å³/atom
Formation energy = 0.98 eV per atom
Total magnetization = 0.1 μB per formula unit

a = 4.792 Å, b = 4.792 Å, c = 4.461 Å
α = 90.00°, β = 90.00°, γ = 90.00°
Sites, in units of the cell vectors:
Ti 0.000 0.000 0.000
Al 0.000 0.500 0.500
Al 0.500 0.000 0.500
V 0.500 0.500 0.000
Mo 0.000 0.000 0.500


TiAlVMo | PBE | relaxed

Volume = 15.13 Å³/atom
Formation energy = -0.25 eV per atom
Total magnetization = 0.0 μB per formula unit

a = 4.407 Å, b = 4.407 Å, c = 4.407 Å
α = 60.00°, β = 60.00°, γ = 60.00°
Sites, in units of the cell vectors:
Ti 0.000 0.000 0.000
Al 0.250 0.250 0.250
V 0.500 0.500 0.500
Mo 0.750 0.750 0.750


TiAlZnMo | PBE | relaxed

Volume = 15.35 Å³/atom
Formation energy = -0.06 eV per atom
Total magnetization = 0.0 μB per formula unit

a = 4.428 Å, b = 4.428 Å, c = 4.428 Å
α = 60.00°, β = 60.00°, γ = 60.00°
Sites, in units of the cell vectors:
Ti 0.000 0.000 0.000
Al 0.500 0.500 0.500
Zn 0.750 0.750 0.750
Mo 0.250 0.250 0.250


AlTlMo2 | PBE | relaxed

Volume = 18.34 Å³/atom
Formation energy = 0.40 eV per atom
Total magnetization = 0.0 μB per formula unit

a = 4.952 Å, b = 4.952 Å, c = 4.948 Å
α = 100.00°, β = 100.00°, γ = 37.96°
Sites, in units of the cell vectors:
Al 0.000 0.000 0.000
Tl 0.500 0.500 0.500
Mo 0.253 0.253 0.804
Mo 0.747 0.747 0.196


AlTlMo2 | PBE | relaxed

Volume = 19.05 Å³/atom
Formation energy = 0.70 eV per atom
Total magnetization = 0.0 μB per formula unit

a = 10.348 Å, b = 10.348 Å, c = 10.348 Å
α = 158.22°, β = 158.22°, γ = 30.99°
Sites, in units of the cell vectors:
Al 0.000 0.000 0.000
Al 0.750 0.250 0.500
Tl 0.250 0.750 0.500
Tl 0.500 0.500 0.000
Mo 0.083 0.625 0.958
Mo 0.375 0.333 0.458
Mo 0.667 0.125 0.042
Mo 0.875 0.917 0.542


AlTlMo2 | PBE | relaxed

Volume = 17.53 Å³/atom
Formation energy = 0.47 eV per atom
Total magnetization = 0.0 μB per formula unit

a = 4.905 Å, b = 4.905 Å, c = 5.055 Å
α = 96.68°, β = 96.68°, γ = 35.53°
Sites, in units of the cell vectors:
Al 0.000 0.000 0.000
Tl 0.756 0.756 0.262
Mo 0.261 0.261 0.763
Mo 0.506 0.506 0.541